VASP calculation (GGA-PBE) on a relaxed Mg2ZrAu crystal.

a = 4.394 Å, b = 4.394 Å, c = 8.359 Å
α = 90.00°, β = 90.00°, γ = 90.00°
Space group I4/mmm (No. 139)
Unique sites:
Mg  0.000  0.500  0.250
Zr  0.000  0.000  0.000
Au  0.000  0.000  0.500

ΔH_f (0 K)   -80 meV/atom
Uncorrected energy   -3.833 eV per atom
Fermi-level density of states   0.802 states/eV/atom